A relaxed structure of NpMnH. Source: the Alexandria database, functional PBE.

Values from the calculation:
- volume (Å³/cell) = 73
- total magnetic moment (μB/cell) = 2.102
- calculated total energy (eV per atom) = -8.35
- SG = No. 12

abc: 4.1023 4.1023 5.1329
angles: 108.72 112.53 96.83
Sites, in units of the cell vectors:
Np 0.2367 0.8286 0.0653
Np 0.7633 0.1714 0.9347
H 0.3214 0.4029 0.7243
H 0.6786 0.5971 0.2757
Mn 0.0000 0.0000 0.5000
Mn 0.5000 0.5000 0.5000